No. 1
DFT (GGA-PBE) results for an optimized crystal structure of La4Hf6O19.

Calculated total energy, eV/atom: -9.2783
Fermi-level density of states, states/eV per atom: 0.649
Calculated density, g cm⁻³: 7.31

Lattice parameters (Å, degrees): 8.291 8.291 8.291 109.47 109.47 109.47
Element x y z (fractional)
La: 0.000 0.000 0.298
La: 0.000 0.298 0.000
La: 0.298 0.000 0.000
La: 0.702 0.702 0.702
Hf: 0.165 0.500 0.665
Hf: 0.335 0.835 0.500
Hf: 0.500 0.335 0.835
Hf: 0.500 0.665 0.165
Hf: 0.665 0.165 0.500
Hf: 0.835 0.500 0.335
O: 0.000 0.000 0.000
O: 0.000 0.356 0.356
O: 0.000 0.644 0.644
O: 0.036 0.749 0.357
O: 0.251 0.287 0.608
O: 0.287 0.608 0.251
O: 0.320 0.713 0.964
O: 0.356 0.000 0.356
O: 0.356 0.356 0.000
O: 0.357 0.036 0.749
O: 0.392 0.680 0.643
O: 0.608 0.251 0.287
O: 0.643 0.392 0.680
O: 0.644 0.000 0.644
O: 0.644 0.644 0.000
O: 0.680 0.643 0.392
O: 0.713 0.964 0.320
O: 0.749 0.357 0.036
O: 0.964 0.320 0.713



No. 2
DFT (GGA-PBE) results for an optimized crystal structure of La2Hf2O7.

Calculated total energy, eV/atom: -9.4211
Fermi-level density of states, states/eV per atom: 0.000
Calculated density, g cm⁻³: 7.81

Lattice parameters (Å, degrees): 8.058 5.741 13.882 90.00 98.40 90.00
Element x y z (fractional)
La: 0.141 0.000 0.068
La: 0.228 0.452 0.406
La: 0.282 0.939 0.621
La: 0.358 0.437 0.904
La: 0.642 0.937 0.096
La: 0.718 0.439 0.379
La: 0.772 0.952 0.594
La: 0.859 0.500 0.932
Hf: 0.029 0.450 0.613
Hf: 0.077 0.949 0.817
Hf: 0.416 0.455 0.180
Hf: 0.473 0.951 0.385
Hf: 0.527 0.451 0.615
Hf: 0.584 0.955 0.820
Hf: 0.923 0.449 0.183
Hf: 0.971 0.950 0.387
O: 0.014 0.139 0.683
O: 0.051 0.729 0.516
O: 0.086 0.218 0.915
O: 0.117 0.671 0.720
O: 0.130 0.725 0.929
O: 0.174 0.362 0.196
O: 0.224 0.028 0.395
O: 0.271 0.359 0.585
O: 0.326 0.048 0.802
O: 0.376 0.752 0.107
O: 0.409 0.245 0.060
O: 0.427 0.631 0.320
O: 0.458 0.730 0.518
O: 0.493 0.667 0.723
O: 0.507 0.167 0.277
O: 0.542 0.230 0.482
O: 0.573 0.131 0.680
O: 0.591 0.745 0.940
O: 0.624 0.252 0.893
O: 0.674 0.548 0.198
O: 0.729 0.859 0.415
O: 0.776 0.528 0.605
O: 0.826 0.862 0.804
O: 0.870 0.225 0.071
O: 0.883 0.171 0.280
O: 0.914 0.718 0.085
O: 0.949 0.229 0.484
O: 0.986 0.639 0.317



No. 3
DFT (GGA-PBE) results for an optimized crystal structure of La2Hf2O7.

Calculated total energy, eV/atom: -9.0128
Fermi-level density of states, states/eV per atom: 0.241
Calculated density, g cm⁻³: 8.19

Lattice parameters (Å, degrees): 7.539 7.539 7.539 60.00 60.00 60.00
Element x y z (fractional)
La: 0.000 0.000 0.000
La: 0.000 0.000 0.500
La: 0.000 0.500 0.000
La: 0.500 0.000 0.000
Hf: 0.000 0.500 0.500
Hf: 0.500 0.000 0.500
Hf: 0.500 0.500 0.000
Hf: 0.500 0.500 0.500
O: 0.137 0.137 0.613
O: 0.137 0.613 0.137
O: 0.137 0.613 0.613
O: 0.375 0.375 0.375
O: 0.387 0.387 0.863
O: 0.387 0.863 0.387
O: 0.387 0.863 0.863
O: 0.613 0.137 0.137
O: 0.613 0.137 0.613
O: 0.613 0.613 0.137
O: 0.625 0.625 0.625
O: 0.863 0.387 0.387
O: 0.863 0.387 0.863
O: 0.863 0.863 0.387



Please write out number 1 again, unchanged.
DFT (GGA-PBE) results for an optimized crystal structure of La4Hf6O19.

Calculated total energy, eV/atom: -9.2783
Fermi-level density of states, states/eV per atom: 0.649
Calculated density, g cm⁻³: 7.31

Lattice parameters (Å, degrees): 8.291 8.291 8.291 109.47 109.47 109.47
Element x y z (fractional)
La: 0.000 0.000 0.298
La: 0.000 0.298 0.000
La: 0.298 0.000 0.000
La: 0.702 0.702 0.702
Hf: 0.165 0.500 0.665
Hf: 0.335 0.835 0.500
Hf: 0.500 0.335 0.835
Hf: 0.500 0.665 0.165
Hf: 0.665 0.165 0.500
Hf: 0.835 0.500 0.335
O: 0.000 0.000 0.000
O: 0.000 0.356 0.356
O: 0.000 0.644 0.644
O: 0.036 0.749 0.357
O: 0.251 0.287 0.608
O: 0.287 0.608 0.251
O: 0.320 0.713 0.964
O: 0.356 0.000 0.356
O: 0.356 0.356 0.000
O: 0.357 0.036 0.749
O: 0.392 0.680 0.643
O: 0.608 0.251 0.287
O: 0.643 0.392 0.680
O: 0.644 0.000 0.644
O: 0.644 0.644 0.000
O: 0.680 0.643 0.392
O: 0.713 0.964 0.320
O: 0.749 0.357 0.036
O: 0.964 0.320 0.713



Q: Number 2 is which compound?
A: La2Hf2O7